Density functional theory data (PBE-GGA) for crystalline Sr3Li4In2 at its relaxed geometry.

## Properties
The total energy comes out at -20.24 eV per formula unit.

abc: 11.501 5.016 9.602
angles: 90.00 104.20 90.00
Space group C2/m (No. 12)
Asymmetric unit:
Sr 0.000 0.000 0.000 [2 per cell]
Sr 0.121 0.500 0.375 [4 per cell]
Li 0.095 0.000 0.659 [4 per cell]
Li 0.229 0.500 0.067 [4 per cell]
In 0.202 0.500 0.762 [4 per cell]


Density functional theory data (PBE-GGA) for crystalline Sr6LiIn2 at its relaxed geometry.

## Properties
The total energy comes out at -19.01 eV per formula unit.

abc: 10.478 6.040 11.173
angles: 90.00 90.02 90.00
Space group C2/m (No. 12)
Asymmetric unit:
Sr 0.001 0.000 0.295 [4 per cell]
Sr 0.167 0.500 0.550 [4 per cell]
Sr 0.167 0.500 0.909 [4 per cell]
Li 0.000 0.000 0.000 [2 per cell]
In 0.168 0.500 0.234 [4 per cell]


Density functional theory data (PBE-GGA) for crystalline SrLiIn2 at its relaxed geometry.

## Properties
The total energy comes out at -10.14 eV per formula unit.

abc: 3.716 5.040 6.081
angles: 90.00 91.84 90.00
Space group Pm (No. 6)
Asymmetric unit:
Sr 0.000 0.000 0.000 [1 per cell]
Li 0.046 0.500 0.593 [1 per cell]
In 0.511 0.000 0.502 [1 per cell]
In 0.515 0.500 0.209 [1 per cell]


Density functional theory data (PBE-GGA) for crystalline Sr4Li3In at its relaxed geometry.

## Properties
The total energy comes out at -16.00 eV per formula unit.

abc: 4.427 5.279 12.862
angles: 90.00 90.00 90.00
Space group Pmm2 (No. 25)
Asymmetric unit:
Sr 0.000 0.000 0.000 [1 per cell]
Sr 0.000 0.500 0.281 [1 per cell]
Sr 0.500 0.000 0.481 [1 per cell]
Sr 0.500 0.500 0.790 [1 per cell]
Li 0.000 0.000 0.704 [1 per cell]
Li 0.000 0.500 0.573 [1 per cell]
Li 0.500 0.500 0.083 [1 per cell]
In 0.500 0.000 0.206 [1 per cell]


Density functional theory data (PBE-GGA) for crystalline SrLi8In3 at its relaxed geometry.

## Properties
The total energy comes out at -26.90 eV per formula unit.

abc: 5.5624 5.5624 9.3215
angles: 90.00 90.00 120.00
Space group P3m1 (No. 156)
Asymmetric unit:
Sr 0.0000 0.0000 0.0000 [1 per cell]
Li 0.1620 0.3240 0.6696 [3 per cell]
Li 0.3333 0.6667 0.4319 [1 per cell]
Li 0.3333 0.6667 0.9195 [1 per cell]
Li 0.5049 0.0097 0.2087 [3 per cell]
In 0.0000 0.0000 0.3744 [1 per cell]
In 0.6667 0.3333 0.5045 [1 per cell]
In 0.6667 0.3333 0.8513 [1 per cell]


Density functional theory data (PBE-GGA) for crystalline SrLiIn at its relaxed geometry.

## Properties
The total energy comes out at -7.12 eV per formula unit.

abc: 3.923 3.923 11.465
angles: 90.00 90.00 90.00
Space group I4mm (No. 107)
Asymmetric unit:
Sr 0.000 0.000 0.000 [2 per cell]
Li 0.000 0.000 0.295 [2 per cell]
In 0.000 0.000 0.692 [2 per cell]


Density functional theory data (PBE-GGA) for crystalline SrLi3In at its relaxed geometry.

## Properties
The total energy comes out at -10.95 eV per formula unit. For the energy above the most stable polymorph in this dataset, the calculation gives 0 meV/atom.

abc: 6.843 5.106 7.749
angles: 90.00 107.17 90.00
Space group P2_1/m (No. 11)
Asymmetric unit:
Sr 0.175 0.250 0.226 [2 per cell]
Li 0.145 0.250 0.728 [2 per cell]
Li 0.385 0.750 0.947 [2 per cell]
Li 0.494 0.250 0.648 [2 per cell]
In 0.235 0.750 0.568 [2 per cell]


Density functional theory data (PBE-GGA) for crystalline Sr6Li15In8 at its relaxed geometry.

## Properties
The total energy comes out at -67.50 eV per formula unit.

abc: 14.352 14.352 14.352
angles: 90.00 90.00 90.00
Space group Fm-3m (No. 225)
Asymmetric unit:
Sr 0.000 0.000 0.213 [24 per cell]
Li 0.000 0.000 0.500 [4 per cell]
Li 0.000 0.250 0.250 [24 per cell]
Li 0.177 0.177 0.177 [32 per cell]
In 0.124 0.124 0.376 [32 per cell]


Density functional theory data (PBE-GGA) for crystalline Sr3Li2In4 at its relaxed geometry.

## Properties
The total energy comes out at -22.46 eV per formula unit. For the energy above the most stable polymorph in this dataset, the calculation gives 47 meV/atom.

abc: 5.1323 5.1323 24.4350
angles: 90.00 90.00 120.00
Space group P3m1 (No. 156)
Asymmetric unit:
Sr 0.0000 0.0000 0.0000 [1 per cell]
Sr 0.0000 0.0000 0.1596 [1 per cell]
Sr 0.0000 0.0000 0.3287 [1 per cell]
Sr 0.0000 0.0000 0.5044 [1 per cell]
Sr 0.0000 0.0000 0.6698 [1 per cell]
Sr 0.0000 0.0000 0.8300 [1 per cell]
Li 0.3333 0.6667 0.4041 [1 per cell]
Li 0.6667 0.3333 0.0831 [1 per cell]
Li 0.6667 0.3333 0.4269 [1 per cell]
Li 0.6667 0.3333 0.7541 [1 per cell]
In 0.3333 0.6667 0.0743 [1 per cell]
In 0.3333 0.6667 0.2596 [1 per cell]
In 0.3333 0.6667 0.6028 [1 per cell]
In 0.3333 0.6667 0.7430 [1 per cell]
In 0.3333 0.6667 0.9302 [1 per cell]
In 0.6667 0.3333 0.2341 [1 per cell]
In 0.6667 0.3333 0.5720 [1 per cell]
In 0.6667 0.3333 0.9039 [1 per cell]


Density functional theory data (PBE-GGA) for crystalline SrLiIn at its relaxed geometry.

## Properties
The total energy comes out at -7.16 eV per formula unit.

abc: 4.912 5.870 6.717
angles: 102.80 111.30 90.18
Space group P-1 (No. 2)
Asymmetric unit:
Sr 0.104 0.294 0.209 [2 per cell]
Li 0.225 0.860 0.451 [2 per cell]
In 0.400 0.267 0.801 [2 per cell]


Density functional theory data (PBE-GGA) for crystalline SrLi12In6 at its relaxed geometry.

## Properties
The total energy comes out at -44.16 eV per formula unit.

abc: 12.0480 12.0480 9.9875
angles: 90.00 90.00 120.00
Space group R-3m (No. 166, hexagonal axes)
Asymmetric unit:
Sr 0.0000 0.0000 0.0000 [3 per cell]
Li 0.0000 0.3923 0.5000 [18 per cell]
Li 0.0976 0.1951 0.2949 [18 per cell]
In 0.0687 0.5343 0.2461 [18 per cell]


Density functional theory data (PBE-GGA) for crystalline SrLi2In at its relaxed geometry.

## Properties
The total energy comes out at -9.08 eV per formula unit.

abc: 8.424 4.831 6.343
angles: 90.00 115.80 90.00
Space group Cm (No. 8)
Asymmetric unit:
Sr 0.000 0.000 0.000 [2 per cell]
Li 0.190 0.000 0.574 [2 per cell]
Li 0.490 0.000 0.471 [2 per cell]
In 0.296 0.500 0.389 [2 per cell]


What is the formula in the first record? Sr3Li4In2